Below is an optimized crystal structure of CsAs2Pd4Pb, with properties calculated at the PBE level.

Raw total energy in Ry/atom: -0.345
SG: P4/mmm
Magnetization in μB per cell: 0.00
ΔH_f (0 K) in eV/atom: -0.36
Theoretical density in Mg/m³: 7.9

a = 4.0894 Å, b = 4.0894 Å, c = 11.5478 Å
α = 90.00°, β = 90.00°, γ = 90.00°
Sites, in units of the cell vectors:
Cs 0.0000 0.0000 0.0000
As 0.5000 0.5000 0.2037
As 0.5000 0.5000 0.7963
Pd 0.0000 0.5000 0.3238
Pd 0.0000 0.5000 0.6762
Pd 0.5000 0.0000 0.3238
Pd 0.5000 0.0000 0.6762
Pb 0.0000 0.0000 0.5000

Below is an optimized crystal structure of CsAs2Pt4Pb, with properties calculated at the PBE level.

Raw total energy in Ry/atom: -0.376
SG: P4/mmm
Magnetization in μB per cell: 0.00
ΔH_f (0 K) in eV/atom: -0.37
Theoretical density in Mg/m³: 10.9

a = 4.0669 Å, b = 4.0669 Å, c = 11.6513 Å
α = 90.00°, β = 90.00°, γ = 90.00°
Sites, in units of the cell vectors:
Cs 0.0000 0.0000 0.0000
As 0.5000 0.5000 0.1985
As 0.5000 0.5000 0.8015
Pt 0.0000 0.5000 0.3171
Pt 0.0000 0.5000 0.6829
Pt 0.5000 0.0000 0.3171
Pt 0.5000 0.0000 0.6829
Pb 0.0000 0.0000 0.5000

Below is an optimized crystal structure of CsAsPtPb, with properties calculated at the PBE level.

Raw total energy in Ry/atom: -0.309
SG: R3m
Magnetization in μB per cell: 0.00
ΔH_f (0 K) in eV/atom: -0.40
Theoretical density in Mg/m³: 8.0

a = 8.1084 Å, b = 8.1084 Å, c = 8.1084 Å
α = 31.12°, β = 31.12°, γ = 31.12°
Sites, in units of the cell vectors:
Cs 0.0000 0.0000 0.0000
As 0.5555 0.5555 0.5555
Pt 0.2015 0.2015 0.2015
Pb 0.8048 0.8048 0.8048

Below is an optimized crystal structure of CsRbAsPb2, with properties calculated at the PBE level.

Raw total energy in Ry/atom: -0.198
SG: P4/mmm
Magnetization in μB per cell: 0.00
ΔH_f (0 K) in eV/atom: 0.08
Theoretical density in Mg/m³: 5.2

a = 5.8096 Å, b = 5.8096 Å, c = 6.7493 Å
α = 90.00°, β = 90.00°, γ = 90.00°
Sites, in units of the cell vectors:
Cs 0.0000 0.0000 0.0000
Rb 0.5000 0.5000 0.0000
As 0.0000 0.0000 0.5000
Pb 0.0000 0.5000 0.5000
Pb 0.5000 0.0000 0.5000

Below is an optimized crystal structure of CsRb2As2Pb2, with properties calculated at the PBE level.

Raw total energy in Ry/atom: -0.227
SG: C2/m
Magnetization in μB per cell: 0.00
ΔH_f (0 K) in eV/atom: -0.30
Theoretical density in Mg/m³: 4.3

a = 7.7320 Å, b = 7.7320 Å, c = 11.1489 Å
α = 110.76°, β = 110.76°, γ = 32.57°
Sites, in units of the cell vectors:
Cs 0.0000 0.0000 0.0000
Rb 0.2832 0.2832 0.3587
Rb 0.7168 0.7168 0.6413
As 0.4136 0.4136 0.6986
As 0.5864 0.5864 0.3014
Pb 0.0171 0.0171 0.6566
Pb 0.9829 0.9829 0.3434

Below is an optimized crystal structure of CsRbAsPb, with properties calculated at the PBE level.

Raw total energy in Ry/atom: -0.201
SG: Imm2
Magnetization in μB per cell: 0.30
ΔH_f (0 K) in eV/atom: -0.19
Theoretical density in Mg/m³: 4.3

a = 8.0474 Å, b = 8.0474 Å, c = 8.0474 Å
α = 148.94°, β = 133.62°, γ = 56.87°
Sites, in units of the cell vectors:
Cs 0.0000 0.0000 0.0000
Rb 0.3162 0.3162 0.0000
As 0.5589 0.5589 0.0000
Pb 0.6838 0.1838 0.5000

Below is an optimized crystal structure of CsAsRhPb, with properties calculated at the PBE level.

Raw total energy in Ry/atom: -0.330
SG: P4/nmm
Magnetization in μB per cell: 0.00
ΔH_f (0 K) in eV/atom: -0.34
Theoretical density in Mg/m³: 6.7

a = 4.2758 Å, b = 4.2758 Å, c = 14.1210 Å
α = 90.00°, β = 90.00°, γ = 90.00°
Sites, in units of the cell vectors:
Cs 0.2500 0.2500 0.2403
Cs 0.7500 0.7500 0.7597
As 0.2500 0.2500 0.9109
As 0.7500 0.7500 0.0891
Rh 0.2500 0.7500 0.0000
Rh 0.7500 0.2500 0.0000
Pb 0.2500 0.7500 0.5000
Pb 0.7500 0.2500 0.5000

Below is an optimized crystal structure of CsAsPb2S4, with properties calculated at the PBE level.

Raw total energy in Ry/atom: -0.291
SG: C2/c
Magnetization in μB per cell: 0.00
Theoretical density in Mg/m³: 5.6
Energy relative to the elements, uncorrected in kJ/mol of formula units: -213

a = 8.6066 Å, b = 8.6066 Å, c = 8.2419 Å
α = 118.56°, β = 118.56°, γ = 91.97°
Sites, in units of the cell vectors:
Cs 0.0000 0.0000 0.0000
Cs 0.0000 0.0000 0.5000
As 0.0000 0.5000 0.0000
As 0.5000 0.0000 0.5000
Pb 0.0000 0.5000 0.5000
Pb 0.5000 0.0000 0.0000
Pb 0.5000 0.5000 0.0000
Pb 0.5000 0.5000 0.5000
S 0.2310 0.3249 0.0282
S 0.2579 0.7394 0.0036
S 0.2606 0.7421 0.4964
S 0.3249 0.2310 0.5282
S 0.6751 0.7690 0.4718
S 0.7394 0.2579 0.5036
S 0.7421 0.2606 0.9964
S 0.7690 0.6751 0.9718

Below is an optimized crystal structure of CsAsPbS4, with properties calculated at the PBE level.

Raw total energy in Ry/atom: -0.310
SG: P2_1/m
Magnetization in μB per cell: 0.00
Theoretical density in Mg/m³: 4.1
Energy relative to the elements, uncorrected in kJ/mol of formula units: -371

a = 6.8925 Å, b = 6.9749 Å, c = 9.5388 Å
α = 90.00°, β = 107.81°, γ = 90.00°
Sites, in units of the cell vectors:
Cs 0.2240 0.2500 0.4344
Cs 0.7760 0.7500 0.5656
As 0.2903 0.7500 0.1733
As 0.7097 0.2500 0.8267
Pb 0.2627 0.2500 0.9589
Pb 0.7373 0.7500 0.0411
S 0.1007 0.7500 0.3193
S 0.1017 0.7500 0.9423
S 0.4941 0.9996 0.2141
S 0.4941 0.5004 0.2141
S 0.5059 0.0004 0.7859
S 0.5059 0.4996 0.7859
S 0.8983 0.2500 0.0577
S 0.8993 0.2500 0.6807

Below is an optimized crystal structure of CsSbAsPb2, with properties calculated at the PBE level.

Raw total energy in Ry/atom: -0.263
SG: P2_1/m
Magnetization in μB per cell: 0.00
Theoretical density in Mg/m³: 5.9
Energy relative to the elements, uncorrected in kJ/mol of formula units: -84

a = 8.3043 Å, b = 4.6212 Å, c = 11.4989 Å
α = 90.00°, β = 107.93°, γ = 90.00°
Sites, in units of the cell vectors:
Cs 0.0607 0.2500 0.2874
Cs 0.9393 0.7500 0.7126
Sb 0.3039 0.7500 0.0885
Sb 0.6961 0.2500 0.9115
As 0.3021 0.7500 0.5669
As 0.6979 0.2500 0.4331
Pb 0.4411 0.7500 0.8559
Pb 0.4804 0.7500 0.3749
Pb 0.5196 0.2500 0.6251
Pb 0.5589 0.2500 0.1441

Below is an optimized crystal structure of CsAs2PbSe, with properties calculated at the PBE level.

Raw total energy in Ry/atom: -0.235
Polymorph energy (0 for the lowest one) in meV/atom: 0.0
SG: P4/mmm
Magnetization in μB per cell: 2.35
Theoretical density in Mg/m³: 5.2
Energy relative to the elements, uncorrected in kJ/mol of formula units: 131

a = 5.6154 Å, b = 5.6154 Å, c = 5.8025 Å
α = 90.00°, β = 90.00°, γ = 90.00°
Sites, in units of the cell vectors:
Cs 0.0000 0.0000 0.0000
As 0.0000 0.5000 0.5000
As 0.5000 0.0000 0.5000
Pb 0.5000 0.5000 0.5000
Se 0.5000 0.5000 0.0000

Below is an optimized crystal structure of Cs2As2PbSe6, with properties calculated at the PBE level.

Raw total energy in Ry/atom: -0.275
SG: C2/m
Magnetization in μB per cell: 0.00
Theoretical density in Mg/m³: 4.5
Energy relative to the elements, uncorrected in kJ/mol of formula units: -528

a = 7.6411 Å, b = 7.6411 Å, c = 9.0854 Å
α = 114.85°, β = 114.85°, γ = 60.03°
Sites, in units of the cell vectors:
Cs 0.2299 0.2299 0.1906
Cs 0.7701 0.7701 0.8094
As 0.4438 0.4438 0.8305
As 0.5562 0.5562 0.1695
Pb 0.0000 0.0000 0.5000
Se 0.2262 0.7493 0.2263
Se 0.2501 0.2501 0.7726
Se 0.2507 0.7738 0.7737
Se 0.7493 0.2262 0.2263
Se 0.7499 0.7499 0.2274
Se 0.7738 0.2507 0.7737

Below is an optimized crystal structure of Cs2AsPbSe4, with properties calculated at the PBE level.

Raw total energy in Ry/atom: -0.264
SG: Fddd
Magnetization in μB per cell: 0.00
Theoretical density in Mg/m³: 4.4
Energy relative to the elements, uncorrected in kJ/mol of formula units: -452

a = 14.6779 Å, b = 12.9654 Å, c = 8.3776 Å
α = 83.96°, β = 61.45°, γ = 34.58°
Sites, in units of the cell vectors:
Cs 0.0575 0.0575 0.6925
Cs 0.3075 0.3075 0.9425
Cs 0.6925 0.6925 0.0575
Cs 0.9425 0.9425 0.3075
As 0.3750 0.3750 0.3750
As 0.6250 0.6250 0.6250
Pb 0.1250 0.1250 0.1250
Pb 0.8750 0.8750 0.8750
Se 0.0120 0.6186 0.5410
Se 0.3284 0.5410 0.6186
Se 0.3814 0.9880 0.6716
Se 0.4590 0.6716 0.9880
Se 0.5410 0.3284 0.0120
Se 0.6186 0.0120 0.3284
Se 0.6716 0.4590 0.3814
Se 0.9880 0.3814 0.4590

Below is an optimized crystal structure of CsAs2Pb2Se6, with properties calculated at the PBE level.

Raw total energy in Ry/atom: -0.282
SG: P-1
Magnetization in μB per cell: 0.00
Theoretical density in Mg/m³: 4.4
Energy relative to the elements, uncorrected in kJ/mol of formula units: -359

a = 7.9823 Å, b = 8.4703 Å, c = 8.7045 Å
α = 62.21°, β = 62.79°, γ = 61.89°
Sites, in units of the cell vectors:
Cs 0.0000 0.0000 0.0000
As 0.4078 0.6696 0.5134
As 0.5922 0.3304 0.4866
Pb 0.3131 0.4071 0.9665
Pb 0.6869 0.5929 0.0335
Se 0.0810 0.6547 0.7115
Se 0.4501 0.3433 0.2881
Se 0.4599 0.8891 0.1893
Se 0.5401 0.1109 0.8107
Se 0.5499 0.6567 0.7119
Se 0.9190 0.3453 0.2885

Below is an optimized crystal structure of CsAs2PbSe, with properties calculated at the PBE level.

Raw total energy in Ry/atom: -0.163
Polymorph energy (0 for the lowest one) in meV/atom: 975.1
SG: P4/mmm
Magnetization in μB per cell: 1.52
Theoretical density in Mg/m³: 4.9
Energy relative to the elements, uncorrected in kJ/mol of formula units: 601

a = 5.7651 Å, b = 5.7651 Å, c = 5.8536 Å
α = 90.00°, β = 90.00°, γ = 90.00°
Sites, in units of the cell vectors:
Cs 0.0000 0.0000 0.0000
As 0.0000 0.5000 0.0000
As 0.5000 0.0000 0.0000
Pb 0.5000 0.5000 0.5000
Se 0.0000 0.0000 0.5000

Below is an optimized crystal structure of CsSnAs2Pb, with properties calculated at the PBE level.

Raw total energy in Ry/atom: -0.280
SG: C2/m
Magnetization in μB per cell: 0.00
ΔH_f (0 K) in eV/atom: -0.24
Theoretical density in Mg/m³: 5.5

a = 9.6243 Å, b = 9.6243 Å, c = 10.0846 Å
α = 121.53°, β = 121.53°, γ = 27.57°
Sites, in units of the cell vectors:
Cs 0.1181 0.1181 0.2463
Cs 0.8819 0.8819 0.7537
Sn 0.3915 0.3915 0.4281
Sn 0.6085 0.6085 0.5719
As 0.2075 0.2075 0.6728
As 0.4639 0.4639 0.2541
As 0.5361 0.5361 0.7459
As 0.7925 0.7925 0.3272
Pb 0.1578 0.1578 0.8915
Pb 0.8422 0.8422 0.1085

Below is an optimized crystal structure of Cs4Tl2As2Pb, with properties calculated at the PBE level.

Raw total energy in Ry/atom: -0.181
SG: C2/m
Magnetization in μB per cell: 1.81
ΔH_f (0 K) in eV/atom: -0.12
Theoretical density in Mg/m³: 4.6

a = 7.4906 Å, b = 7.4906 Å, c = 9.5359 Å
α = 110.88°, β = 110.88°, γ = 87.03°
Sites, in units of the cell vectors:
Cs 0.0239 0.5969 0.7553
Cs 0.4031 0.9761 0.2447
Cs 0.5969 0.0239 0.7553
Cs 0.9761 0.4031 0.2447
Tl 0.3955 0.3955 0.0769
Tl 0.6045 0.6045 0.9231
As 0.1261 0.1261 0.8547
As 0.8739 0.8739 0.1453
Pb 0.0000 0.0000 0.5000

Below is an optimized crystal structure of CsZnAs2Pb, with properties calculated at the PBE level.

Raw total energy in Ry/atom: -0.238
SG: C2/m
Magnetization in μB per cell: 0.00
ΔH_f (0 K) in eV/atom: -0.21
Theoretical density in Mg/m³: 5.5

a = 8.7070 Å, b = 8.7070 Å, c = 11.2086 Å
α = 123.18°, β = 123.18°, γ = 28.65°
Sites, in units of the cell vectors:
Cs 0.1775 0.1775 0.1159
Cs 0.8225 0.8225 0.8841
Zn 0.0375 0.0375 0.6519
Zn 0.9625 0.9625 0.3481
As 0.1527 0.1527 0.5726
As 0.4267 0.4267 0.2085
As 0.5733 0.5733 0.7915
As 0.8473 0.8473 0.4274
Pb 0.3707 0.3707 0.6086
Pb 0.6293 0.6293 0.3914

Below is an optimized crystal structure of Cs2AsPd2, with properties calculated at the PBE level.

Raw total energy in Ry/atom: -0.249
Polymorph energy (0 for the lowest one) in meV/atom: 189.1
SG: P4/mbm
Magnetization in μB per cell: 0.00
ΔH_f (0 K) in eV/atom: -0.04
Theoretical density in Mg/m³: 6.6

a = 6.8672 Å, b = 6.8672 Å, c = 5.9235 Å
α = 90.00°, β = 90.00°, γ = 90.00°
Sites, in units of the cell vectors:
Cs 0.1820 0.3180 0.0000
Cs 0.3180 0.8180 0.0000
Cs 0.6820 0.1820 0.0000
Cs 0.8180 0.6820 0.0000
As 0.0000 0.0000 0.5000
As 0.5000 0.5000 0.5000
Pd 0.1497 0.6497 0.5000
Pd 0.3503 0.1497 0.5000
Pd 0.6497 0.8503 0.5000
Pd 0.8503 0.3503 0.5000

Below is an optimized crystal structure of CsAsPd, with properties calculated at the PBE level.

Raw total energy in Ry/atom: -0.295
SG: C2/m
Magnetization in μB per cell: 0.00
ΔH_f (0 K) in eV/atom: -0.45
Theoretical density in Mg/m³: 4.5

a = 4.5745 Å, b = 4.5745 Å, c = 11.2932 Å
α = 91.21°, β = 91.21°, γ = 99.87°
Sites, in units of the cell vectors:
Cs 0.2304 0.2304 0.2763
Cs 0.7696 0.7696 0.7237
As 0.3025 0.3025 0.9133
As 0.6975 0.6975 0.0867
Pd 0.2038 0.7962 0.0000
Pd 0.7962 0.2038 0.0000